! CaTa2Si, relaxed, DFT PBE; values from VASP
! energy relative to the elements, uncorrected: 0.55 eV per atom
! V: 76.38 Å³/f.u.
! total DFT energy (no corrections): -7.2316 eV/atom
! DOS(E_F): 0.971 states/eV per atom
! total moment: 0.00 μB/cell
&SYSTEM
  ibrav = 0, nat = 4, ntyp = 3
/
ATOMIC_SPECIES
Ca 40.08 Ca.upf
Ta 180.95 Ta.upf
Si 28.09 Si.upf
CELL_PARAMETERS angstrom
2.8943 -4.5613 0.0000
2.8943 4.5613 0.0000
0.0000 0.0000 2.8928
ATOMIC_POSITIONS crystal
Ca 0.0000 0.0000 0.0000
Ta 0.0000 0.5000 0.5000
Ta 0.5000 0.0000 0.5000
Si 0.5000 0.5000 0.0000



! CaTa2Si, relaxed, DFT PBE; values from VASP
! energy relative to the elements, uncorrected: 0.15 eV per atom
! V: 77.72 Å³/f.u.
! total DFT energy (no corrections): -7.6332 eV/atom
! DOS(E_F): 0.839 states/eV per atom
! total moment: 0.00 μB/cell
&SYSTEM
  ibrav = 0, nat = 4, ntyp = 3
/
ATOMIC_SPECIES
Ca 40.08 Ca.upf
Ta 180.95 Ta.upf
Si 28.09 Si.upf
CELL_PARAMETERS angstrom
2.9028 0.0000 0.0000
0.0000 2.9028 0.0000
0.0000 0.0000 9.2240
ATOMIC_POSITIONS crystal
Ca 0.0000 0.0000 0.0000
Ta 0.0000 0.0000 0.4462
Ta 0.5000 0.5000 0.6940
Si 0.5000 0.5000 0.2444



! CaTa2Si2, relaxed, DFT PBE; values from VASP
! energy relative to the elements, uncorrected: 0.09 eV per atom
! V: 103.59 Å³/f.u.
! total DFT energy (no corrections): -7.2160 eV/atom
! DOS(E_F): 0.796 states/eV per atom
! total moment: 0.00 μB/cell
&SYSTEM
  ibrav = 0, nat = 5, ntyp = 3
/
ATOMIC_SPECIES
Ca 40.08 Ca.upf
Ta 180.95 Ta.upf
Si 28.09 Si.upf
CELL_PARAMETERS angstrom
-2.4289 2.4289 4.3897
2.4289 -2.4289 4.3897
2.4289 2.4289 -4.3897
ATOMIC_POSITIONS crystal
Ca 0.0000 0.0000 0.0000
Ta 0.3460 0.3460 0.0000
Ta 0.6540 0.6540 0.0000
Si 0.2500 0.7500 0.5000
Si 0.7500 0.2500 0.5000



! Ca2TaSi, relaxed, DFT PBE; values from VASP
! energy relative to the elements, uncorrected: 0.24 eV per atom
! V: 105.55 Å³/f.u.
! total DFT energy (no corrections): -5.0773 eV/atom
! DOS(E_F): 1.120 states/eV per atom
! total moment: 0.00 μB/cell
&SYSTEM
  ibrav = 0, nat = 4, ntyp = 3
/
ATOMIC_SPECIES
Ca 40.08 Ca.upf
Ta 180.95 Ta.upf
Si 28.09 Si.upf
CELL_PARAMETERS angstrom
4.3158 0.0000 0.0000
0.0000 2.0463 5.9760
0.0000 -2.0463 5.9760
ATOMIC_POSITIONS crystal
Ca 0.0000 0.0000 0.0000
Ca 0.5000 0.2992 0.2992
Ta 0.0000 0.7040 0.7040
Si 0.5000 0.5953 0.5953



! Ca2TaSi, relaxed, DFT PBE; values from VASP
! energy relative to the elements, uncorrected: 0.41 eV per atom
! V: 86.20 Å³/f.u.
! total DFT energy (no corrections): -4.9105 eV/atom
! DOS(E_F): 0.881 states/eV per atom
! total moment: 0.00 μB/cell
&SYSTEM
  ibrav = 0, nat = 4, ntyp = 3
/
ATOMIC_SPECIES
Ca 40.08 Ca.upf
Ta 180.95 Ta.upf
Si 28.09 Si.upf
CELL_PARAMETERS angstrom
4.2216 0.0000 0.0000
0.0000 4.2216 0.0000
0.0000 0.0000 4.8366
ATOMIC_POSITIONS crystal
Ca 0.0000 0.5000 0.0000
Ca 0.5000 0.0000 0.0000
Ta 0.0000 0.0000 0.5000
Si 0.5000 0.5000 0.5000



! Ca2TaSi, relaxed, DFT PBE; values from VASP
! energy relative to the elements, uncorrected: 0.21 eV per atom
! V: 99.94 Å³/f.u.
! total DFT energy (no corrections): -5.1123 eV/atom
! DOS(E_F): 0.939 states/eV per atom
! total moment: 0.81 μB/cell
&SYSTEM
  ibrav = 0, nat = 4, ntyp = 3
/
ATOMIC_SPECIES
Ca 40.08 Ca.upf
Ta 180.95 Ta.upf
Si 28.09 Si.upf
CELL_PARAMETERS angstrom
5.8526 -1.8370 0.0000
5.8526 1.8370 0.0000
-2.2833 0.0000 4.6480
ATOMIC_POSITIONS crystal
Ca 0.0000 0.0000 0.0000
Ca 0.1999 0.1999 0.6979
Ta 0.4021 0.4021 0.4026
Si 0.7401 0.7401 0.2351



! CaTa2Si, relaxed, DFT PBE; values from VASP
! energy relative to the elements, uncorrected: 0.11 eV per atom
! V: 78.53 Å³/f.u.
! total DFT energy (no corrections): -7.6760 eV/atom
! DOS(E_F): 0.661 states/eV per atom
! total moment: 0.00 μB/cell
&SYSTEM
  ibrav = 0, nat = 4, ntyp = 3
/
ATOMIC_SPECIES
Ca 40.08 Ca.upf
Ta 180.95 Ta.upf
Si 28.09 Si.upf
CELL_PARAMETERS angstrom
1.8593 -2.3041 0.0000
1.8593 2.3041 0.0000
0.0000 0.0000 9.1653
ATOMIC_POSITIONS crystal
Ca 0.0000 0.0000 0.0000
Ta 0.0000 0.0000 0.4529
Ta 0.5000 0.5000 0.6930
Si 0.5000 0.5000 0.2510



! CaTa2Si, relaxed, DFT PBE; values from VASP
! energy relative to the elements, uncorrected: 0.26 eV per atom
! V: 79.83 Å³/f.u.
! total DFT energy (no corrections): -7.5253 eV/atom
! DOS(E_F): 1.287 states/eV per atom
! total moment: 0.01 μB/cell
&SYSTEM
  ibrav = 0, nat = 4, ntyp = 3
/
ATOMIC_SPECIES
Ca 40.08 Ca.upf
Ta 180.95 Ta.upf
Si 28.09 Si.upf
CELL_PARAMETERS angstrom
1.8850 -2.3598 0.0000
1.8850 2.3598 0.0000
0.0000 0.0000 8.9733
ATOMIC_POSITIONS crystal
Ca 0.0000 0.0000 0.0000
Ta 0.5000 0.5000 0.3084
Ta 0.5000 0.5000 0.6916
Si 0.0000 0.0000 0.5000



! Ca2TaSi, relaxed, DFT PBE; values from VASP
! energy relative to the elements, uncorrected: 0.19 eV per atom
! V: 111.97 Å³/f.u.
! total DFT energy (no corrections): -5.1275 eV/atom
! DOS(E_F): 0.798 states/eV per atom
! total moment: 0.37 μB/cell
&SYSTEM
  ibrav = 0, nat = 4, ntyp = 3
/
ATOMIC_SPECIES
Ca 40.08 Ca.upf
Ta 180.95 Ta.upf
Si 28.09 Si.upf
CELL_PARAMETERS angstrom
1.8825 1.0869 9.1210
-1.8825 1.0869 9.1210
0.0000 -2.1737 9.1210
ATOMIC_POSITIONS crystal
Ca 0.0000 0.0000 0.0000
Ca 0.2086 0.2086 0.2086
Ta 0.4501 0.4501 0.4501
Si 0.7377 0.7377 0.7377



! CaTa2Si, relaxed, DFT PBE; values from VASP
! energy relative to the elements, uncorrected: 0.31 eV per atom
! V: 78.80 Å³/f.u.
! total DFT energy (no corrections): -7.4687 eV/atom
! DOS(E_F): 1.035 states/eV per atom
! total moment: 0.00 μB/cell
&SYSTEM
  ibrav = 0, nat = 4, ntyp = 3
/
ATOMIC_SPECIES
Ca 40.08 Ca.upf
Ta 180.95 Ta.upf
Si 28.09 Si.upf
CELL_PARAMETERS angstrom
1.5262 0.8812 9.7654
-1.5262 0.8812 9.7654
0.0000 -1.7623 9.7654
ATOMIC_POSITIONS crystal
Ca 0.0000 0.0000 0.0000
Ta 0.2381 0.2381 0.2381
Ta 0.4873 0.4873 0.4873
Si 0.7503 0.7503 0.7503



! CaTa2Si, relaxed, DFT PBE; values from VASP
! energy relative to the elements, uncorrected: 0.06 eV per atom
! V: 82.96 Å³/f.u.
! total DFT energy (no corrections): -7.7235 eV/atom
! DOS(E_F): 1.043 states/eV per atom
! total moment: 0.27 μB/cell
&SYSTEM
  ibrav = 0, nat = 4, ntyp = 3
/
ATOMIC_SPECIES
Ca 40.08 Ca.upf
Ta 180.95 Ta.upf
Si 28.09 Si.upf
CELL_PARAMETERS angstrom
3.4166 0.0000 0.0000
0.0000 3.4166 0.0000
0.0000 0.0000 7.1067
ATOMIC_POSITIONS crystal
Ca 0.0000 0.0000 0.0000
Ta 0.0000 0.0000 0.5281
Ta 0.5000 0.5000 0.3329
Si 0.5000 0.5000 0.7119



! Ca2TaSi, relaxed, DFT PBE; values from VASP
! energy relative to the elements, uncorrected: 0.31 eV per atom
! V: 89.28 Å³/f.u.
! total DFT energy (no corrections): -5.0088 eV/atom
! DOS(E_F): 1.197 states/eV per atom
! total moment: 0.00 μB/cell
&SYSTEM
  ibrav = 0, nat = 4, ntyp = 3
/
ATOMIC_SPECIES
Ca 40.08 Ca.upf
Ta 180.95 Ta.upf
Si 28.09 Si.upf
CELL_PARAMETERS angstrom
3.0162 0.0000 0.0000
0.0000 3.0162 0.0000
0.0000 0.0000 9.8141
ATOMIC_POSITIONS crystal
Ca 0.0000 0.0000 0.2265
Ca 0.0000 0.0000 0.7735
Ta 0.5000 0.5000 0.5000
Si 0.5000 0.5000 0.0000